Entry from Alexandria: Tc3Ir at its PBEsol-relaxed geometry (SCAN).

a b c (Å): 4.6855 4.6855 4.6855
angles (deg): 90.00 90.00 90.00
Each line ends with the local moment (μB).
Sites, in units of the cell vectors:
Ir  0.0000  0.0000  0.0000  -0.10
Tc  0.5000  0.0000  0.0000  1.34
Tc  0.0000  0.5000  0.0000  1.34
Tc  0.0000  0.0000  0.5000  1.34

- Final energy: -41.620 eV/atom
- Symmetry: No. 221
- Energy above the lowest structure with this stoichiometry: 2691 meV/atom
- DFT formation energy: 9.799 eV per formula unit
- Crystal system: cubic